The following is a DFT calculation (meta-GGA SCAN) of ZnCoPt2 at its PBEsol-relaxed geometry.

Properties
The formation energy comes out at -0.35 eV per atom. As for the crystal system: orthorhombic.

a b c (Å): 2.7312 4.5100 4.5100
angles (deg): 105.17 90.00 90.00
Each line ends with the local moment (μB).
Atoms (fractional coordinates):
Pt 0.0000 0.5000 0.0000  0.15
Pt 0.0000 0.0000 0.5000  0.15
Co 0.5000 0.5000 0.5000  2.14
Zn 0.5000 0.0000 0.0000  -0.01

***

The following is a DFT calculation (meta-GGA SCAN) of ZnCoPt2 at its PBEsol-relaxed geometry.

Properties
The formation energy comes out at -0.39 eV per atom. As for the crystal system: orthorhombic.

a b c (Å): 2.7379 3.5914 5.4765
angles (deg): 90.00 90.00 90.00
Each line ends with the local moment (μB).
Atoms (fractional coordinates):
Pt 0.0000 0.0000 0.2556  0.18
Zn 0.5000 0.5000 0.0000  -0.01
Co 0.5000 0.5000 0.5000  2.14
Pt 0.0000 0.0000 0.7444  0.18

***

The following is a DFT calculation (meta-GGA SCAN) of ZrCoPt3 at its PBEsol-relaxed geometry.

Properties
The formation energy comes out at 0.26 eV per atom. As for the crystal system: cubic.

a b c (Å): 4.4829 4.4829 4.4829
angles (deg): 90.00 90.00 90.00
Each line ends with the local moment (μB).
Atoms (fractional coordinates):
Co 0.0000 0.0000 0.0000  2.06
Zr 0.5000 0.5000 0.5000  0.18
Pt 0.5000 0.0000 0.0000  0.26
Pt 0.0000 0.0000 0.5000  0.26
Pt 0.0000 0.5000 0.0000  0.26

***

The following is a DFT calculation (meta-GGA SCAN) of ZrCoPt at its PBEsol-relaxed geometry.

Properties
The formation energy comes out at -0.40 eV per atom. As for the crystal system: cubic.

a b c (Å): 4.2807 4.2807 4.2807
angles (deg): 60.00 60.00 60.00
Each line ends with the local moment (μB).
Atoms (fractional coordinates):
Pt 0.7500 0.7500 0.7500  0.00
Zr 0.0000 0.0000 0.0000  -0.27
Co 0.5000 0.5000 0.5000  2.05

***

The following is a DFT calculation (meta-GGA SCAN) of ZrCoPt4 at its PBEsol-relaxed geometry.

Properties
The formation energy comes out at -0.61 eV per atom. As for the crystal system: cubic.

a b c (Å): 5.1591 5.1591 5.1591
angles (deg): 60.00 60.00 60.00
Each line ends with the local moment (μB).
Atoms (fractional coordinates):
Zr 0.7500 0.7500 0.7500  -0.07
Pt 0.3744 0.3744 0.3744  0.01
Pt 0.8768 0.3744 0.3744  0.01
Co 0.0000 0.0000 0.0000  1.95
Pt 0.3744 0.8768 0.3744  0.01
Pt 0.3744 0.3744 0.8768  0.01

***

The following is a DFT calculation (meta-GGA SCAN) of ZrCoPt2 at its PBEsol-relaxed geometry.

Properties
The formation energy comes out at -0.68 eV per atom. As for the crystal system: tetragonal.

a b c (Å): 3.3448 3.3448 5.5339
angles (deg): 90.00 90.00 90.00
Each line ends with the local moment (μB).
Atoms (fractional coordinates):
Co 0.5000 0.5000 0.7751  1.79
Zr 0.0000 0.0000 0.5022  -0.15
Pt 0.0000 0.0000 0.9718  0.15
Pt 0.5000 0.5000 0.2509  -0.05

***

The following is a DFT calculation (meta-GGA SCAN) of ZrCo4Pt at its PBEsol-relaxed geometry.

Properties
The formation energy comes out at -0.34 eV per atom. As for the crystal system: cubic.

a b c (Å): 4.7447 4.7447 4.7447
angles (deg): 60.00 60.00 60.00
Each line ends with the local moment (μB).
Atoms (fractional coordinates):
Co 0.8711 0.3763 0.3763  1.74
Co 0.3763 0.3763 0.8711  1.74
Co 0.3763 0.8711 0.3763  1.74
Zr 0.0000 0.0000 0.0000  -0.36
Co 0.3763 0.3763 0.3763  1.74
Pt 0.7500 0.7500 0.7500  0.23

***

The following is a DFT calculation (meta-GGA SCAN) of ZrCoPt at its PBEsol-relaxed geometry.

Properties
The formation energy comes out at -0.08 eV per atom. As for the crystal system: cubic.

a b c (Å): 4.2363 4.2363 4.2363
angles (deg): 60.00 60.00 60.00
Atoms (fractional coordinates):
Pt 0.5000 0.5000 0.5000
Zr 0.7500 0.7500 0.7500
Co 0.0000 0.0000 0.0000

***

The following is a DFT calculation (meta-GGA SCAN) of RbCoRe3 at its PBEsol-relaxed geometry.

Properties
The formation energy comes out at 2.29 eV per atom. As for the crystal system: cubic.

a b c (Å): 4.5644 4.5644 4.5644
angles (deg): 90.00 90.00 90.00
Each line ends with the local moment (μB).
Atoms (fractional coordinates):
Co 0.0000 0.0000 0.0000  -0.06
Rb 0.5000 0.5000 0.5000  0.06
Re 0.0000 0.5000 0.0000  0.66
Re 0.5000 0.0000 0.0000  0.66
Re 0.0000 0.0000 0.5000  0.66

***

The following is a DFT calculation (meta-GGA SCAN) of RbCo2Re2 at its PBEsol-relaxed geometry.

Properties
The formation energy comes out at 0.96 eV per atom. As for the crystal system: tetragonal.

a b c (Å): 3.8774 3.8774 7.3718
angles (deg): 105.25 105.25 90.00
Each line ends with the local moment (μB).
Atoms (fractional coordinates):
Rb 0.0000 0.0000 0.0000  -0.01
Co 0.3498 0.3498 0.6997  1.38
Re 0.7500 0.2500 0.5000  0.10
Re 0.2500 0.7500 0.5000  0.10
Co 0.6502 0.6502 0.3003  1.38

***

The following is a DFT calculation (meta-GGA SCAN) of RbCoReSi2 at its PBEsol-relaxed geometry.

Properties
The calculation puts the formation energy without anion corrections at 3.35 eV per atom. As for the crystal system: tetragonal.

a b c (Å): 4.2083 4.8985 4.8985
angles (deg): 90.00 90.00 90.00
Each line ends with the local moment (μB).
Atoms (fractional coordinates):
Co 0.5000 0.0000 0.0000  -1.58
Rb 0.0000 0.0000 0.0000  0.02
Re 0.5000 0.5000 0.5000  -2.19
Si 0.0000 0.0000 0.5000  0.05
Si 0.0000 0.5000 0.0000  0.05

***

The following is a DFT calculation (meta-GGA SCAN) of RbCoRh3 at its PBEsol-relaxed geometry.

Properties
The formation energy comes out at 2.64 eV per atom. As for the crystal system: cubic.

a b c (Å): 4.6326 4.6326 4.6326
angles (deg): 90.00 90.00 90.00
Each line ends with the local moment (μB).
Atoms (fractional coordinates):
Rh 0.0000 0.0000 0.5000  0.56
Rh 0.5000 0.0000 0.0000  0.56
Rh 0.0000 0.5000 0.0000  0.56
Rb 0.0000 0.0000 0.0000  0.00
Co 0.5000 0.5000 0.5000  2.12

***

The following is a DFT calculation (meta-GGA SCAN) of RbCo3Sb at its PBEsol-relaxed geometry.

Properties
The calculation puts the formation energy without anion corrections at 2.30 eV per atom. As for the crystal system: cubic.

a b c (Å): 4.5371 4.5371 4.5371
angles (deg): 90.00 90.00 90.00
Each line ends with the local moment (μB).
Atoms (fractional coordinates):
Co 0.0000 0.0000 0.5000  1.61
Sb 0.5000 0.5000 0.5000  0.06
Rb 0.0000 0.0000 0.0000  -0.01
Co 0.5000 0.0000 0.0000  1.61
Co 0.0000 0.5000 0.0000  1.61

***

The following is a DFT calculation (meta-GGA SCAN) of RbCoSb3 at its PBEsol-relaxed geometry.

Properties
The calculation puts the formation energy without anion corrections at 0.21 eV per atom. As for the crystal system: cubic.

a b c (Å): 5.0884 5.0884 5.0884
angles (deg): 90.00 90.00 90.00
Atoms (fractional coordinates):
Sb 0.0000 0.5000 0.0000
Sb 0.5000 0.0000 0.0000
Co 0.0000 0.0000 0.0000
Sb 0.0000 0.0000 0.5000
Rb 0.5000 0.5000 0.5000

***

The following is a DFT calculation (meta-GGA SCAN) of RbCoSb3 at its PBEsol-relaxed geometry.

Properties
The calculation puts the formation energy without anion corrections at 2.11 eV per atom. As for the crystal system: cubic.

a b c (Å): 5.7620 5.7620 5.7620
angles (deg): 90.00 90.00 90.00
Each line ends with the local moment (μB).
Atoms (fractional coordinates):
Co 0.5000 0.5000 0.5000  2.68
Sb 0.0000 0.5000 0.0000  0.04
Sb 0.5000 0.0000 0.0000  0.04
Sb 0.0000 0.0000 0.5000  0.04
Rb 0.0000 0.0000 0.0000  0.03

***

The following is a DFT calculation (meta-GGA SCAN) of RbCoSb2Te at its PBEsol-relaxed geometry.

Properties
The calculation puts the formation energy without anion corrections at 1.95 eV per atom. As for the crystal system: tetragonal.

a b c (Å): 5.8052 5.8052 5.9196
angles (deg): 90.00 90.00 90.00
Each line ends with the local moment (μB).
Atoms (fractional coordinates):
Te 0.0000 0.0000 0.5000  0.02
Rb 0.0000 0.0000 0.0000  0.01
Sb 0.0000 0.5000 0.0000  0.01
Co 0.5000 0.5000 0.5000  2.70
Sb 0.5000 0.0000 0.0000  0.01

***

The following is a DFT calculation (meta-GGA SCAN) of Rb3CoSe at its PBEsol-relaxed geometry.

Properties
The calculation puts the formation energy without anion corrections at -0.15 eV per atom. As for the crystal system: cubic.

a b c (Å): 6.4704 6.4704 6.4704
angles (deg): 90.00 90.00 90.00
Each line ends with the local moment (μB).
Atoms (fractional coordinates):
Rb 0.0000 0.0000 0.5000  0.00
Rb 0.5000 0.0000 0.0000  0.00
Se 0.0000 0.0000 0.0000  0.00
Rb 0.0000 0.5000 0.0000  0.00
Co 0.5000 0.5000 0.5000  1.97

***

The following is a DFT calculation (meta-GGA SCAN) of RbCoSe2 at its PBEsol-relaxed geometry.

Properties
The calculation puts the formation energy without anion corrections at -0.61 eV per atom. As for the crystal system: tetragonal.

a b c (Å): 6.4165 6.4165 6.4165
angles (deg): 106.01 111.23 111.23
Each line ends with the local moment (μB).
Atoms (fractional coordinates):
Se 0.3731 0.8750 0.7481  0.02
Se 0.8731 0.4981 0.1250  0.02
Co 0.0000 0.5000 0.5000  1.72
Rb 0.0000 0.0000 0.0000  0.01
Se 0.6269 0.3750 0.5019  0.02
Co 0.5000 0.2500 0.7500  1.72
Rb 0.5000 0.7500 0.2500  0.01
Se 0.1269 0.2519 0.6250  0.02

***

The following is a DFT calculation (meta-GGA SCAN) of RbZr2CoSn at its PBEsol-relaxed geometry.

Properties
The formation energy comes out at 0.70 eV per atom. As for the crystal system: tetragonal.

a b c (Å): 4.9169 4.9169 4.8780
angles (deg): 90.00 90.00 90.00
Atoms (fractional coordinates):
Co 0.0000 0.0000 0.0000
Sn 0.5000 0.5000 0.5000
Zr 0.0000 0.5000 0.0000
Zr 0.5000 0.0000 0.0000
Rb 0.0000 0.0000 0.5000

***

The following is a DFT calculation (meta-GGA SCAN) of RbTa3Co at its PBEsol-relaxed geometry.

Properties
The formation energy comes out at 3.53 eV per atom. As for the crystal system: cubic.

a b c (Å): 4.6735 4.6735 4.6735
angles (deg): 90.00 90.00 90.00
Each line ends with the local moment (μB).
Atoms (fractional coordinates):
Ta 0.0000 0.5000 0.0000  0.08
Co 0.5000 0.5000 0.5000  2.15
Ta 0.5000 0.0000 0.0000  0.08
Ta 0.0000 0.0000 0.5000  0.08
Rb 0.0000 0.0000 0.0000  0.01

***

no.,DOS at the Fermi energy (states/eV per cell)
1,1.89
2,1.53
3,4.45
4,1.82
5,2.51
6,2.47
7,6.02
8,2.15
9,5.94
10,5.65
11,3.07
12,4.58
13,2.80
14,4.63
15,4.20
16,5.58
17,1.46
18,2.54
19,3.10
20,5.62